Entry from the Alexandria database: PrCuPd after structural relaxation (PBE).

E, eV per atom: -5.22
Offset from the most stable computed form, meV per atom: 0
Calculated formation energy, eV/f.u.: -1.6

Cell: 7.804 4.411 7.230 Å, 90.00 90.00 90.00°
Positions (direct):
Cu 0.917 0.500 0.936
Cu 0.417 0.000 0.064
Cu 0.083 0.000 0.564
Pr 0.291 0.500 0.756
Pr 0.209 0.500 0.256
Pd 0.908 0.500 0.535
Pd 0.592 0.500 0.035
Pd 0.092 0.000 0.965
Cu 0.583 0.500 0.436
Pd 0.408 0.000 0.465
Pr 0.791 0.000 0.244
Pr 0.709 0.000 0.744